# 1
Here is a relaxed MgAl2Zn crystal from OQMD. Energies are from PBE.

symmetry	F-43m (216)
raw total energy	-2.501	eV/atom
crystal system	cubic

Unit cell a=4.633 b=4.633 c=4.633 alpha=60.00 beta=60.00 gamma=60.00
Fractional positions:
Al  0.000  0.000  0.000
Al  0.750  0.750  0.750
Zn  0.250  0.250  0.250
Mg  0.500  0.500  0.500


# 2
Here is a relaxed MgAlZn crystal from OQMD. Energies are from PBE.

symmetry	F-43m (216)
raw total energy	-2.181	eV/atom
energy above the most stable polymorph in this dataset	0.000	eV per formula unit
crystal system	cubic

Unit cell a=4.365 b=4.365 c=4.365 alpha=60.00 beta=60.00 gamma=60.00
Fractional positions:
Mg  0.750  0.750  0.750
Al  0.250  0.250  0.250
Zn  0.000  0.000  0.000


# 3
Here is a relaxed AlMo2 crystal from OQMD. Energies are from PBE.

magnetic moment	0.0	μB per cell
symmetry	P6_3/mmc (194)
raw total energy	-8.212	eV/atom
energy above the most stable polymorph in this dataset	0.000	eV per formula unit
crystal system	hexagonal

Unit cell a=5.248 b=5.248 c=8.463 alpha=90.00 beta=90.00 gamma=120.00
Fractional positions:
Mo  0.172  0.828  0.750
Mo  0.172  0.344  0.750
Mo  0.656  0.828  0.750
Mo  0.828  0.656  0.250
Mo  0.828  0.172  0.250
Mo  0.000  0.000  0.000
Mo  0.000  0.000  0.500
Mo  0.344  0.172  0.250
Al  0.667  0.333  0.563
Al  0.333  0.667  0.063
Al  0.667  0.333  0.937
Al  0.333  0.667  0.437


# 4
Here is a relaxed AlMo crystal from OQMD. Energies are from PBE.

magnetic moment	0.5	μB per cell
symmetry	P6_3/mmc (194)
raw total energy	-6.247	eV/atom
crystal system	hexagonal

Unit cell a=4.413 b=4.413 c=4.984 alpha=90.00 beta=90.00 gamma=120.00
Last column: magnetic moment on the atom in μB.
Fractional positions:
Mo  0.000  0.000  0.438  0.24
Mo  0.333  0.667  0.938  0.24
Al  0.333  0.667  0.437  -0.01
Al  0.000  0.000  0.937  -0.01


# 5
Here is a relaxed AlMo crystal from OQMD. Energies are from PBE.

magnetic moment	0.0	μB per cell
symmetry	P-6m2 (187)
raw total energy	-7.378	eV/atom
crystal system	hexagonal

Unit cell a=2.851 b=2.851 c=4.436 alpha=90.00 beta=90.00 gamma=120.00
Fractional positions:
Al  0.667  0.333  0.750
Mo  0.333  0.667  0.250


# 6
Here is a relaxed Al2Mo3 crystal from OQMD. Energies are from PBE.

magnetic moment	0.0	μB per cell
symmetry	R-3m (166)
raw total energy	-7.700	eV/atom
crystal system	trigonal

Unit cell a=5.359 b=5.359 c=7.189 alpha=111.88 beta=68.12 gamma=120.00
Fractional positions:
Al  0.690  0.310  0.930
Al  0.190  0.810  0.430
Al  0.310  0.690  0.070
Al  0.810  0.190  0.570
Mo  0.750  0.250  0.250
Mo  0.250  0.250  0.250
Mo  0.750  0.750  0.750
Mo  0.750  0.750  0.250
Mo  0.250  0.250  0.750
Mo  0.250  0.750  0.750


# 7
Here is a relaxed Al3Mo crystal from OQMD. Energies are from PBE.

magnetic moment	0.9	μB per cell
symmetry	Pm-3m (221)
raw total energy	-5.631	eV/atom
crystal system	cubic

Unit cell a=3.940 b=3.940 c=3.940 alpha=90.00 beta=90.00 gamma=90.00
Last column: magnetic moment on the atom in μB.
Fractional positions:
Mo  0.000  0.000  0.000  0.84
Al  0.500  0.500  0.000  -0.01
Al  0.000  0.500  0.500  0.00
Al  0.500  0.000  0.500  0.00


# 8
Here is a relaxed Al3Mo crystal from OQMD. Energies are from PBE.

magnetic moment	2.6	μB per cell
symmetry	Pm-3n (223)
raw total energy	-5.544	eV/atom
crystal system	cubic

Unit cell a=5.040 b=5.040 c=5.040 alpha=90.00 beta=90.00 gamma=90.00
Last column: magnetic moment on the atom in μB.
Fractional positions:
Al  0.000  0.500  0.750  -0.01
Al  0.500  0.750  0.000  0.00
Al  0.500  0.250  0.000  0.00
Al  0.000  0.500  0.250  -0.01
Al  0.250  0.000  0.500  0.00
Al  0.750  0.000  0.500  0.00
Mo  0.000  0.000  0.000  1.11
Mo  0.500  0.500  0.500  1.11


# 9
Here is a relaxed Al3Mo crystal from OQMD. Energies are from PBE.

magnetic moment	0.6	μB per cell
symmetry	I4/mmm (139)
raw total energy	-5.783	eV/atom
crystal system	tetragonal

Unit cell a=4.972 b=4.972 c=4.972 alpha=134.81 beta=134.81 gamma=65.83
Last column: magnetic moment on the atom in μB.
Fractional positions:
Mo  0.000  0.000  0.000  0.48
Al  0.750  0.250  0.500  0.00
Al  0.250  0.750  0.500  0.00
Al  0.500  0.500  0.000  0.01


# 10
Here is a relaxed Al3Mo crystal from OQMD. Energies are from PBE.

magnetic moment	0.0	μB per cell
symmetry	Fm-3m (225)
raw total energy	-5.380	eV/atom
crystal system	cubic

Unit cell a=4.430 b=4.430 c=4.430 alpha=60.00 beta=60.00 gamma=60.00
Fractional positions:
Al  0.500  0.500  0.500
Al  0.250  0.250  0.250
Al  0.000  0.000  0.000
Mo  0.750  0.750  0.750


# 11
Here is a relaxed AlMo2 crystal from OQMD. Energies are from PBE.

magnetic moment	0.0	μB per cell
symmetry	P6_3/mmc (194)
raw total energy	-8.201	eV/atom
energy above the most stable polymorph in this dataset	0.033	eV per formula unit
crystal system	hexagonal

Unit cell a=5.240 b=5.240 c=16.973 alpha=90.00 beta=90.00 gamma=120.00
Fractional positions:
Mo  0.500  0.000  0.500
Mo  0.160  0.320  0.250
Mo  0.160  0.840  0.250
Mo  0.500  0.500  0.500
Mo  0.333  0.667  0.373
Mo  0.680  0.840  0.250
Mo  0.333  0.667  0.127
Mo  0.500  0.000  0.000
Mo  0.667  0.333  0.627
Mo  0.000  0.500  0.500
Mo  0.840  0.680  0.750
Mo  0.500  0.500  0.000
Mo  0.667  0.333  0.873
Mo  0.320  0.160  0.750
Mo  0.840  0.160  0.750
Mo  0.000  0.500  0.000
Al  0.000  0.000  0.593
Al  0.000  0.000  0.407
Al  0.667  0.333  0.344
Al  0.333  0.667  0.844
Al  0.667  0.333  0.156
Al  0.333  0.667  0.656
Al  0.000  0.000  0.907
Al  0.000  0.000  0.093


# 12
Here is a relaxed Al8Mo crystal from OQMD. Energies are from PBE.

magnetic moment	0.0	μB per cell
symmetry	I4/mmm (139)
raw total energy	-4.594	eV/atom
crystal system	tetragonal

Unit cell a=6.481 b=6.481 c=6.481 alpha=94.76 beta=94.76 gamma=146.51
Fractional positions:
Al  0.000  0.674  0.674
Al  0.326  0.000  0.326
Al  0.674  0.000  0.674
Al  0.662  0.662  0.323
Al  0.000  0.326  0.326
Al  0.338  0.662  0.000
Al  0.662  0.338  0.000
Al  0.338  0.338  0.677
Mo  0.000  0.000  0.000